# 1
Compound: Li2PrCuO4
Source: Alexandria via LeMat-Bulk
Functional: PBE
Structure: relaxed

Cell lengths 5.4630, 5.4630, 6.2476 Å; angles 90.00, 90.00, 90.00 degrees
Last column: nearest neighbours and their distance in Å.
Space group I-42m (No. 121)
Asymmetric unit:
Li 0.0000 0.5000 0.2500 x4  4 O 2.07
Pr 0.0000 0.0000 0.0000 x2  4 O 2.35
Cu 0.0000 0.0000 0.5000 x2  4 O 1.89
O 0.2173 0.2173 0.6393 x8  1 Cu 1.89, 2 Li 2.07

## Properties
* total moment: 0.00 μB/f.u.
* DFT total energy: -5.831 eV per atom
* calculated volume: 11.65 Å³ per atom
* uncorrected formation energy: -170.2 kJ/mol of atoms
* density of states at the Fermi level: 8.6 states/eV per cell



# 2
Compound: Sc2NiHgH
Source: Alexandria via LeMat-Bulk
Functional: PBE
Structure: relaxed

Cell lengths 4.8007, 4.8007, 4.9009 Å; angles 90.00, 90.00, 90.00 degrees
Last column: nearest neighbours and their distance in Å.
Space group P4/mmm (No. 123)
Asymmetric unit:
Sc 0.0000 0.5000 0.0000 x2  2 Ni 2.40
Ni 0.0000 0.0000 0.0000 x1  4 Sc 2.40, 2 Hg 2.45
Hg 0.0000 0.0000 0.5000 x1  2 Ni 2.45
H 0.5000 0.5000 0.5000 x1  4 Hg 3.39, 8 Sc 3.43

## Properties
* total moment: 0.00 μB/f.u.
* DFT total energy: -4.072 eV per atom
* calculated volume: 22.59 Å³ per atom
* density of states at the Fermi level: 2.6 states/eV per cell



- Among the records above, which one has the highest calculated volume?
  Sc2NiHgH



- density of states at the Fermi level of number 2 (Sc2NiHgH)?
  2.6 states/eV per cell



- What is the formula in the second record?
  Sc2NiHgH



- Which formula does entry 1 have?
  Li2PrCuO4